NbAl2Cu | PBE-GGA | optimized geometry

Values from the calculation:
- Total DFT energy (no corrections): -5.239 eV/atom

Cell: 6.263 6.263 6.263 Å, 90.00 90.00 90.00°
Space group F-43m (No. 216)
Inequivalent atoms, fractional coordinates:
Nb: 0.000 0.000 0.000 [4 per cell]
Al: 0.000 0.000 0.500 [4 per cell]
Al: 0.250 0.250 0.750 [4 per cell]
Cu: 0.250 0.250 0.250 [4 per cell]